16
Lattice="9.137 0.000 0.000 0.000 2.792 4.811 0.000 -2.792 4.811" Properties=species:S:1:pos:R:3 comment="GePd14Pt PBE optimized geometry" rho_g_cm3=11.9 ef_ev_per_atom=-0.082 sg="No. 38" pbc="T T T"
Ge 0.000 0.000 0.000
Pd 0.000 -1.390 2.446
Pd 0.000 1.390 2.446
Pd 2.247 -1.407 5.625
Pd 2.247 1.407 5.625
Pd 2.264 0.000 8.049
Pd 2.301 0.000 3.230
Pd 4.569 0.000 1.606
Pd 4.569 -1.401 4.017
Pd 4.569 0.000 6.415
Pd 4.569 1.401 4.017
Pd 6.836 0.000 3.230
Pd 6.873 0.000 8.049
Pd 6.890 -1.407 5.625
Pd 6.890 1.407 5.625
Pt 0.000 0.000 4.834